(1)
The following is a PBE calculation of a relaxed structure of TmMg3Au2, from the Alexandria database.

a = 4.283 Å, b = 8.474 Å, c = 7.055 Å
α = 90.00°, β = 90.00°, γ = 90.00°
Space group Pmc2_1 (No. 26)
Inequivalent atoms, fractional coordinates:
Tm  0.000  0.080  0.000 (multiplicity 2)
Mg  0.000  0.317  0.611 (multiplicity 2)
Mg  0.500  0.199  0.328 (multiplicity 2)
Mg  0.500  0.419  0.936 (multiplicity 2)
Au  0.000  0.377  0.221 (multiplicity 2)
Au  0.500  0.120  0.713 (multiplicity 2)

=====

(2)
The following is a PBE calculation of a relaxed structure of Ce4ZnRu, from the Alexandria database.

a = 6.426 Å, b = 16.077 Å, c = 5.244 Å
α = 90.00°, β = 90.00°, γ = 90.00°
Space group Cmcm (No. 63)
Inequivalent atoms, fractional coordinates:
Ce  0.215  0.217  0.250 (multiplicity 8)
Ce  0.221  0.095  0.750 (multiplicity 8)
Zn  0.000  0.443  0.750 (multiplicity 4)
Ru  0.000  0.058  0.250 (multiplicity 4)

=====

(3)
The following is a PBE calculation of a relaxed structure of CaEuGdIn, from the Alexandria database.

a = 7.963 Å, b = 7.963 Å, c = 7.963 Å
α = 90.00°, β = 90.00°, γ = 90.00°
Space group F-43m (No. 216)
Inequivalent atoms, fractional coordinates:
Ca  0.000  0.000  0.000 (multiplicity 4)
Eu  0.250  0.250  0.250 (multiplicity 4)
Gd  0.000  0.000  0.500 (multiplicity 4)
In  0.250  0.250  0.750 (multiplicity 4)

=====

(4)
The following is a PBE calculation of a relaxed structure of MnRePtPb2, from the Alexandria database.

a = 4.982 Å, b = 4.982 Å, c = 4.438 Å
α = 90.00°, β = 90.00°, γ = 90.00°
Space group P4/mmm (No. 123)
Inequivalent atoms, fractional coordinates:
Mn  0.000  0.000  0.000 (multiplicity 1)
Re  0.000  0.000  0.500 (multiplicity 1)
Pt  0.500  0.500  0.500 (multiplicity 1)
Pb  0.000  0.500  0.000 (multiplicity 2)

=====

| no. | D(E_F) (states/eV per atom) | ΔH_f (0 K) (eV per formula unit) |
| --- | --- | --- |
| 1 | 0.53 | -3.581 |
| 2 | 1.31 | -0.764 |
| 3 | 1.67 | -0.594 |
| 4 | 0.90 | 5.708 |